# 1
Here is a relaxed MgCoSeO crystal from the Open Quantum Materials Database. Energies are from PBE+U.

Cell lengths 4.7433, 4.7433, 6.3989 Å; angles 90.00, 90.00, 90.00 degrees
Fractional coordinates of all 8 atoms:
Co: 0.7500 0.7500 0.3145
Co: 0.2500 0.2500 0.6855
Mg: 0.2500 0.2500 0.2439
Mg: 0.7500 0.7500 0.7561
O: 0.7500 0.7500 0.0437
O: 0.2500 0.2500 0.9563
Se: 0.7500 0.2500 0.5000
Se: 0.2500 0.7500 0.5000

Results
Space group: No. 129
Magnetic moment in μB/f.u.: 3.00
Excess energy over the best structure of this formula in the dataset in meV per atom: 588

---

# 2
Here is a relaxed MgCoSeO crystal from the Open Quantum Materials Database. Energies are from PBE+U.

Cell lengths 5.7219, 8.3652, 5.4930 Å; angles 90.00, 90.00, 90.00 degrees
Fractional coordinates of all 16 atoms:
Co: 0.1207 0.0765 0.4659
Co: 0.6207 0.9235 0.4659
Co: 0.3793 0.0765 0.9659
Co: 0.8793 0.9235 0.9659
Mg: 0.9823 0.3297 0.0827
Mg: 0.4823 0.6703 0.0827
Mg: 0.5177 0.3297 0.5827
Mg: 0.0177 0.6703 0.5827
O: 0.0614 0.0967 0.1080
O: 0.5614 0.9033 0.1080
O: 0.4386 0.0967 0.6080
O: 0.9386 0.9033 0.6080
Se: 0.5120 0.3466 0.0934
Se: 0.0120 0.6534 0.0934
Se: 0.9880 0.3466 0.5934
Se: 0.4880 0.6534 0.5934

Results
Space group: No. 29
Magnetic moment in μB/f.u.: 3.00
Excess energy over the best structure of this formula in the dataset in meV per atom: 96

---

# 3
Here is a relaxed MgCoSeO crystal from the Open Quantum Materials Database. Energies are from PBE+U.

Cell lengths 6.2338, 6.2363, 7.2520 Å; angles 90.00, 90.00, 90.00 degrees
Last column: magnetic moment on the atom in μB.
Fractional coordinates of all 16 atoms:
Co: 0.9604 0.3635 0.1537  2.60
Co: 0.0396 0.8635 0.3463  2.61
Co: 0.5396 0.6365 0.6537  2.60
Co: 0.4604 0.1365 0.8463  2.60
Mg: 0.3496 0.7218 0.0691  0.01
Mg: 0.6504 0.2218 0.4309  0.01
Mg: 0.1504 0.2782 0.5691  0.01
Mg: 0.8496 0.7782 0.9309  0.01
O: 0.0432 0.6669 0.1228  0.10
O: 0.9568 0.1669 0.3772  0.09
O: 0.4568 0.3331 0.6228  0.10
O: 0.5432 0.8332 0.8772  0.10
Se: 0.5663 0.3705 0.1014  0.10
Se: 0.4337 0.8705 0.3986  0.11
Se: 0.9337 0.6295 0.6014  0.11
Se: 0.0663 0.1295 0.8986  0.11

Results
Space group: No. 19
Magnetic moment in μB/f.u.: 3.00
Excess energy over the best structure of this formula in the dataset in meV per atom: 72

---

# 4
Here is a relaxed MgCoSeO crystal from the Open Quantum Materials Database. Energies are from PBE+U.

Cell lengths 3.5354, 3.5355, 11.6409 Å; angles 90.00, 90.00, 120.00 degrees
Fractional coordinates of all 8 atoms:
Co: 0.0000 0.0000 0.4894
Co: 0.0000 0.0000 0.9894
Mg: 0.3333 0.6666 0.2766
Mg: 0.6667 0.3333 0.7766
O: 0.0000 0.0000 0.3252
O: 0.0000 0.0000 0.8252
Se: 0.6667 0.3333 0.0965
Se: 0.3333 0.6667 0.5965

Results
Space group: No. 186
Magnetic moment in μB/f.u.: 2.98
Excess energy over the best structure of this formula in the dataset in meV per atom: 108